# La2SmHg | Alexandria via LeMat-Bulk | GGA-PBE | optimized geometry
data_La2SmHg
_cell_length_a 3.7692
_cell_length_b 3.7692
_cell_length_c 32.9303
_cell_angle_alpha 90.00
_cell_angle_beta 90.00
_cell_angle_gamma 120.00
_space_group_name_H-M_alt 'R 3 m'
_space_group_IT_number 160
_space_group_name_Hall 'R 3 -2"'
loop_
_atom_site_label
_atom_site_type_symbol
_atom_site_fract_x
_atom_site_fract_y
_atom_site_fract_z
La1 La 0.0000 0.0000 0.0000
La2 La 0.0000 0.0000 0.1793
Sm1 Sm 0.0000 0.0000 0.4225
Hg1 Hg 0.0000 0.0000 0.5901
# Energy of formation from the pure elements ... -0.14 eV per atom
# Relative energy among the computed polymorphs ... 103 meV per atom
# Fermi-level density of states ... 1.304 states/eV/atom
# Calculated total energy ... -46.31 eV/cell

# LaSm4Hg3 | Alexandria via LeMat-Bulk | GGA-PBE | optimized geometry
data_LaSm4Hg3
_cell_length_a 5.3638
_cell_length_b 5.3638
_cell_length_c 28.2323
_cell_angle_alpha 90.00
_cell_angle_beta 90.00
_cell_angle_gamma 120.00
_space_group_name_H-M_alt 'R -3 m'
_space_group_IT_number 166
_space_group_name_Hall '-R 3 2"'
loop_
_atom_site_label
_atom_site_type_symbol
_atom_site_fract_x
_atom_site_fract_y
_atom_site_fract_z
La1 La 0.0000 0.0000 0.0000
Sm1 Sm 0.0000 0.0000 0.1319
Sm2 Sm 0.0000 0.0000 0.3905
Hg1 Hg 0.0000 0.0000 0.2639
Hg2 Hg 0.0000 0.0000 0.5000
# Energy of formation from the pure elements ... -0.29 eV per atom
# Fermi-level density of states ... 1.213 states/eV/atom
# Calculated total energy ... -81.13 eV/cell

# LaSm3Hg | Alexandria via LeMat-Bulk | GGA-PBE | optimized geometry
data_LaSm3Hg
_cell_length_a 9.166
_cell_length_b 6.116
_cell_length_c 12.381
_cell_angle_alpha 90.00
_cell_angle_beta 116.31
_cell_angle_gamma 90.00
_space_group_name_H-M_alt 'P 1 21/c 1'
_space_group_IT_number 14
loop_
_space_group_symop_operation_xyz
'x,y,z'
'-x,-y,-z'
'-x,y+1/2,-z+1/2'
'x,-y+1/2,z+1/2'
loop_
_atom_site_label
_atom_site_type_symbol
_atom_site_fract_x
_atom_site_fract_y
_atom_site_fract_z
La1 La 0.138 0.200 0.083
Sm1 Sm 0.062 0.654 0.228
Sm2 Sm 0.364 0.202 0.912
Sm3 Sm 0.434 0.662 0.774
Hg1 Hg 0.257 0.665 0.998
# Energy of formation from the pure elements ... -0.15 eV per atom
# Relative energy among the computed polymorphs ... 16 meV per atom
# Fermi-level density of states ... 1.193 states/eV/atom
# Calculated total energy ... -80.57 eV/cell